No. 1
# NaBe2Ni (PBE, optimized geometry)
# - Calculated volume: 189.6 Å³ per cell
# - Total magnetization: 0.000 μB/f.u.
# - Energy above the lowest structure with this stoichiometry: 1.0 kJ per mole of atoms
data_NaBe2Ni
_cell_length_a 5.745
_cell_length_b 5.745
_cell_length_c 5.745
_cell_angle_alpha 90.00
_cell_angle_beta 90.00
_cell_angle_gamma 90.00
_space_group_name_H-M_alt 'F m -3 m'
_space_group_IT_number 225
_space_group_name_Hall '-F 4 2 3'
loop_
_atom_site_label
_atom_site_fract_x
_atom_site_fract_y
_atom_site_fract_z
Na1 0.000 0.000 0.000
Be1 0.250 0.250 0.250
Ni1 0.000 0.000 0.500

***

No. 2
# Cs6K2Se (PBE, optimized geometry)
# - Calculated volume: 2416.2 Å³ per cell
# - Raw formation energy: -2.80 eV per formula unit
# - Total magnetization: 0.000 μB/f.u.
data_Cs6K2Se
_cell_length_a 10.1954
_cell_length_b 10.1954
_cell_length_c 26.8405
_cell_angle_alpha 90.00
_cell_angle_beta 90.00
_cell_angle_gamma 120.00
_space_group_name_H-M_alt 'R 3 m'
_space_group_IT_number 160
_space_group_name_Hall 'R 3 -2"'
loop_
_atom_site_label
_atom_site_fract_x
_atom_site_fract_y
_atom_site_fract_z
Cs1 0.1766 0.3532 0.0000
Cs2 0.1803 0.3605 0.1644
K1 0.0000 0.0000 0.6711
K2 0.0000 0.0000 0.8442
Se1 0.0000 0.0000 0.4139